1.
Computed, not measured: a relaxed Li4Mg3Au2 crystal at the GGA-PBE level of DFT. Values from VASP.

Quantum ESPRESSO input file:
```
&SYSTEM
  ibrav = 0, nat = 9, ntyp = 3
/
ATOMIC_SPECIES
Au 196.97 Au.upf
Mg 24.30 Mg.upf
Li 6.94 Li.upf
ATOMIC_POSITIONS angstrom
Au 0.4805 -0.9841 2.5041
Au 4.2159 1.8042 3.1880
Mg 1.4934 1.7286 2.4140
Mg 0.0000 0.0000 0.0000
Mg 3.2029 -0.9084 3.2781
Li 6.0832 -0.6247 3.6134
Li -0.6393 0.5452 4.4760
Li 5.3356 0.2750 1.2161
Li -1.3868 1.4448 2.0787
CELL_PARAMETERS angstrom
-0.6214 4.2113 1.7743
-2.9425 -3.8673 2.1547
8.2603 0.4761 1.7631
```

Summary:
DFT formation energy = -0.36 eV/atom
Energy above the lowest structure with this stoichiometry = 0.024 eV per atom
SG = C2/m

---

2.
Computed, not measured: a relaxed Ce3HgRu2 crystal at the GGA-PBE level of DFT. Values from VASP.

Quantum ESPRESSO input file:
```
&SYSTEM
  ibrav = 0, nat = 12, ntyp = 3
/
ATOMIC_SPECIES
Ce 140.12 Ce.upf
Ru 101.07 Ru.upf
Hg 200.59 Hg.upf
ATOMIC_POSITIONS angstrom
Ce -2.1168 -10.4171 4.4984
Ce -1.8363 -2.4701 1.2736
Ce -2.0110 -6.4407 2.8902
Ce -2.1283 -0.8182 -2.2015
Ce -2.4877 -10.0238 1.5393
Ce -2.3030 -4.7888 -0.5850
Ru -0.3039 -8.4812 3.4422
Ru -3.9688 -2.5589 -1.2193
Ru -4.3006 -11.9598 2.5955
Ru -0.1705 -4.7001 1.9079
Hg -0.6252 -7.5559 0.2625
Hg -3.5140 0.2970 0.4262
CELL_PARAMETERS angstrom
-3.5322 0.2985 0.4284
-0.7489 -1.9329 -4.8285
-0.4653 -13.1820 5.3491
```

Summary:
DFT formation energy = -0.31 eV/atom
SG = Pmmn

---

3.
Computed, not measured: a relaxed Ta2HgOs crystal at the GGA-PBE level of DFT. Values from VASP.

Quantum ESPRESSO input file:
```
&SYSTEM
  ibrav = 0, nat = 4, ntyp = 3
/
ATOMIC_SPECIES
Hg 200.59 Hg.upf
Ta 180.95 Ta.upf
Os 190.23 Os.upf
ATOMIC_POSITIONS angstrom
Hg -2.3973 1.5490 -0.0967
Ta -3.1056 0.8130 2.7060
Ta -5.8507 1.4727 5.0484
Os -5.3827 2.3109 2.4881
CELL_PARAMETERS angstrom
-1.8091 2.3361 -2.7782
-2.6272 -1.3219 0.5993
-3.3437 2.8457 4.5702
```

Summary:
DFT formation energy = 0.12 eV/atom
SG = P2/m

---

4.
Computed, not measured: a relaxed Pr3Cd5 crystal at the GGA-PBE level of DFT. Values from VASP.

Quantum ESPRESSO input file:
```
&SYSTEM
  ibrav = 0, nat = 8, ntyp = 2
/
ATOMIC_SPECIES
Pr 140.91 Pr.upf
Cd 112.41 Cd.upf
ATOMIC_POSITIONS angstrom
Pr 2.0842 0.0000 4.8599
Pr 2.0842 4.2088 -2.4299
Pr 2.0842 2.6757 1.5448
Cd 0.0000 1.5834 -0.9142
Cd 0.0000 0.0000 1.8284
Cd 0.0000 2.2948 3.9748
Cd 0.0000 4.5897 0.0000
Cd 0.0000 5.3011 3.0606
CELL_PARAMETERS angstrom
4.1684 0.0000 0.0000
0.0000 6.8845 -3.9748
0.0000 0.0000 7.9496
```

Summary:
DFT formation energy = -0.25 eV/atom
Energy above the lowest structure with this stoichiometry = 0.041 eV per atom
SG = P-62m

---

5.
Computed, not measured: a relaxed RbBiAsO6 crystal at the GGA-PBE level of DFT. Values from VASP.

Quantum ESPRESSO input file:
```
&SYSTEM
  ibrav = 0, nat = 9, ntyp = 4
/
ATOMIC_SPECIES
O 16.00 O.upf
As 74.92 As.upf
Bi 208.98 Bi.upf
Rb 85.47 Rb.upf
ATOMIC_POSITIONS angstrom
O 5.0247 -0.4054 2.0945
O 2.9737 -1.4604 3.7021
O 3.7871 1.8807 2.2497
O 1.7598 0.8265 3.4201
O 2.5775 -0.4811 1.3215
O 4.3742 0.5678 4.4208
As 3.4163 0.1548 2.8682
Bi 4.0025 -1.2119 5.5816
Rb 5.3711 3.0358 5.6609
CELL_PARAMETERS angstrom
-0.2890 -0.0070 5.3515
2.0476 -4.0929 2.7889
5.6601 3.0428 0.3096
```

Summary:
E_form (uncorrected) = -8.9 eV/f.u.
SG = P312

---

6.
Computed, not measured: a relaxed PRu3 crystal at the GGA-PBE level of DFT. Values from VASP.

Quantum ESPRESSO input file:
```
&SYSTEM
  ibrav = 0, nat = 4, ntyp = 2
/
ATOMIC_SPECIES
P 30.97 P.upf
Ru 101.07 Ru.upf
ATOMIC_POSITIONS angstrom
P 0.0000 0.0000 0.0000
Ru -0.6129 -1.1087 2.3413
Ru -3.1317 -1.1083 3.2237
Ru -2.5073 0.0211 0.8388
CELL_PARAMETERS angstrom
-1.2541 2.3485 0.7839
-3.1590 -1.2183 -1.4039
-1.2259 -2.2175 4.6826
```

Summary:
DFT formation energy = 0.14 eV/atom
Energy above the lowest structure with this stoichiometry = 0.312 eV per atom
SG = Pmmm

---

7.
Computed, not measured: a relaxed YCr2Ir crystal at the GGA-PBE level of DFT. Values from VASP.

Quantum ESPRESSO input file:
```
&SYSTEM
  ibrav = 0, nat = 4, ntyp = 3
/
ATOMIC_SPECIES
Cr 52.00 Cr.upf
Ir 192.22 Ir.upf
Y 88.91 Y.upf
ATOMIC_POSITIONS angstrom
Cr -0.1558 0.1263 -0.1387
Cr -2.5132 0.8604 -0.1084
Ir -2.7319 2.2148 -2.4335
Y -0.7863 3.1393 -0.1658
CELL_PARAMETERS angstrom
-1.0314 4.5151 -2.5144
-4.6254 0.0709 -2.5245
2.2980 -0.5383 4.7119
```

Summary:
DFT formation energy = 0.20 eV/atom
Energy above the lowest structure with this stoichiometry = 0.119 eV per atom
SG = Imm2

---

8.
Computed, not measured: a relaxed Pm3Cd3Ir crystal at the GGA-PBE level of DFT. Values from VASP.

Quantum ESPRESSO input file:
```
&SYSTEM
  ibrav = 0, nat = 28, ntyp = 3
/
ATOMIC_SPECIES
Cd 112.41 Cd.upf
Pm 145.00 Pm.upf
Ir 192.22 Ir.upf
ATOMIC_POSITIONS angstrom
Cd 4.9444 3.4962 8.5639
Cd 8.8594 4.2241 15.3450
Cd 9.8213 6.9447 13.6789
Cd 7.8300 3.4962 10.2300
Cd 4.9444 3.4962 11.8960
Cd 2.9531 5.2205 10.2300
Cd 9.8213 6.9447 17.0110
Cd 7.3828 5.2205 7.6725
Cd 7.3828 5.2205 12.7875
Cd 5.9063 6.2168 10.2300
Cd 5.9063 1.0441 10.2300
Cd 6.9356 6.9447 15.3450
Pm 4.1746 6.6254 13.2294
Pm 7.6380 1.7274 13.2294
Pm 7.6380 1.7274 7.2306
Pm 1.7317 3.8155 2.9994
Pm 9.3697 6.6254 10.2300
Pm 1.7317 3.8155 7.2306
Pm 4.1746 6.6254 7.2306
Pm 2.4429 1.7274 10.2300
Pm 5.3960 3.8155 5.1150
Pm 4.1746 0.3608 7.2306
Pm 4.1746 0.3608 2.9994
Pm 0.5103 0.3608 5.1150
Ir 5.9063 1.0441 5.1150
Ir 1.4766 1.0441 7.6725
Ir 2.9531 5.2205 5.1150
Ir 1.4766 1.0441 2.5575
CELL_PARAMETERS angstrom
8.8594 0.0000 5.1150
2.9531 8.3527 5.1150
0.0000 0.0000 10.2300
```

Summary:
DFT formation energy = -0.45 eV/atom
SG = Fd-3m